1.
DFT (PBE) results for a relaxed NaScHg2 crystal.

abc: 9.524 9.524 9.524
angles: 21.35 21.35 21.35
Positions (direct):
Na (0.000, 0.000, 0.000)
Sc (0.500, 0.500, 0.500)
Hg (0.244, 0.244, 0.244)
Hg (0.756, 0.756, 0.756)

- Formation enthalpy at 0 K: -182 meV/atom
- N(E_F): 2.77 states/eV per cell
- Total magnetization: 0.000 μB/atom
- Final energy: -2.25 eV/atom



2.
DFT (PBE) results for a relaxed Na3ScHg crystal.

abc: 6.468 6.468 6.468
angles: 90.00 90.00 90.00
Positions (direct):
Na (0.000, 0.000, 0.500)
Na (0.000, 0.500, 0.000)
Na (0.500, 0.000, 0.000)
Sc (0.000, 0.000, 0.000)
Hg (0.500, 0.500, 0.500)

- Formation enthalpy at 0 K: 780 meV/atom
- Energy above the lowest structure with this stoichiometry: 0.327 eV per atom
- N(E_F): 6.93 states/eV per cell
- Total magnetization: 0.279 μB/atom
- Final energy: -1.34 eV/atom



3.
DFT (PBE) results for a relaxed Na3ScHg12 crystal.

abc: 4.555 4.555 18.859
angles: 90.00 90.00 90.00
Positions (direct):
Na (0.000, 0.000, 0.000)
Na (0.000, 0.000, 0.256)
Na (0.000, 0.000, 0.744)
Sc (0.000, 0.000, 0.500)
Hg (0.000, 0.500, 0.129)
Hg (0.000, 0.500, 0.382)
Hg (0.000, 0.500, 0.618)
Hg (0.000, 0.500, 0.871)
Hg (0.500, 0.000, 0.129)
Hg (0.500, 0.000, 0.382)
Hg (0.500, 0.000, 0.618)
Hg (0.500, 0.000, 0.871)
Hg (0.500, 0.500, 0.000)
Hg (0.500, 0.500, 0.258)
Hg (0.500, 0.500, 0.500)
Hg (0.500, 0.500, 0.742)

- Formation enthalpy at 0 K: -175 meV/atom
- N(E_F): 6.50 states/eV per cell
- Total magnetization: 0.000 μB/atom
- Final energy: -1.04 eV/atom



4.
DFT (PBE) results for a relaxed NaScHg2 crystal.

abc: 9.494 9.494 9.494
angles: 21.48 21.48 21.48
Positions (direct):
Na (0.000, 0.000, 0.000)
Sc (0.833, 0.833, 0.833)
Hg (0.244, 0.244, 0.244)
Hg (0.423, 0.423, 0.423)

- Formation enthalpy at 0 K: -179 meV/atom
- N(E_F): 3.30 states/eV per cell
- Total magnetization: 0.000 μB/atom
- Final energy: -2.24 eV/atom